! TcAgPb, optimized geometry, DFT PBE; values from VASP
! Crystal system   tetragonal
! ΔE_f   0.73 eV per atom
! Space group   I4mm
! Total energy   -4.91 eV per atom
&SYSTEM
  ibrav = 0, nat = 3, ntyp = 3
/
ATOMIC_SPECIES
Ag 107.87 Ag.upf
Pb 207.20 Pb.upf
Tc 98.00 Tc.upf
CELL_PARAMETERS angstrom
-5.482 -4.207 0.117
-4.682 -4.061 3.060
-2.312 1.921 0.536
ATOMIC_POSITIONS crystal
Ag 0.983 0.983 0.017
Pb 0.679 0.679 0.321
Tc 0.338 0.338 0.662